Entry from Alexandria: crystalline ZnIrRu3 at its relaxed geometry (PBE-GGA).

a = 4.3900 Å, b = 4.3900 Å, c = 4.3900 Å
α = 90.00°, β = 90.00°, γ = 90.00°
Sites, in units of the cell vectors:
Zn 0.0000 0.0000 0.0000
Ir 0.5000 0.5000 0.5000
Ru 0.0000 0.5000 0.0000
Ru 0.5000 0.0000 0.0000
Ru 0.0000 0.0000 0.5000

Results
Magnetization ... 0.0 μB per formula unit
Space-group type ... Pm-3m, No. 221
Energy of formation ... 1774 meV per atom
Calculated volume ... 84.6 Å³ per cell
Offset from the most stable computed form ... 72.5 meV/atom
Total DFT energy (no corrections) ... -29.09 eV/cell